An optimized crystal structure of La2SiPPt6. Source: Alexandria, functional PBE.

Cell and atoms, written as CIF:
```
data_La2SiPPt6
_cell_length_a 6.3223
_cell_length_b 6.3223
_cell_length_c 34.1936
_cell_angle_alpha 90.00
_cell_angle_beta 90.00
_cell_angle_gamma 120.00
_space_group_name_H-M_alt 'R -3 m'
_space_group_IT_number 166
_space_group_name_Hall '-R 3 2"'
loop_
_atom_site_label
_atom_site_type_symbol
_atom_site_fract_x
_atom_site_fract_y
_atom_site_fract_z
La1 La 0.0000 0.0000 0.1353
La2 La 0.0000 0.0000 0.3027
Si1 Si 0.0000 0.0000 0.0000
Si2 Si 0.0000 0.0000 0.5000
P1 P 0.0000 0.0000 0.4132
Pt1 Pt 0.0388 0.5194 0.8823
Pt2 Pt 0.0438 0.5219 0.7199
```

Summary:
N(E_F): 27.2 states/eV/cell
ΔE_f (raw): -895 meV/atom
DFT total energy: -6.59 eV/atom
Magnetic moment: 0.0 Bohr magnetons per cell